(1)
Here is crystalline CaPmEuY at its relaxed geometry from the Alexandria database. Energies are from PBE.

Unit cell a=8.373 b=8.373 c=8.373 alpha=90.00 beta=90.00 gamma=90.00
Element x y z (fractional)
Ca: 0.000 0.000 0.000
Ca: 0.000 0.500 0.500
Ca: 0.500 0.000 0.500
Ca: 0.500 0.500 0.000
Pm: 0.250 0.250 0.250
Pm: 0.250 0.750 0.750
Pm: 0.750 0.250 0.750
Pm: 0.750 0.750 0.250
Eu: 0.250 0.250 0.750
Eu: 0.250 0.750 0.250
Eu: 0.750 0.250 0.250
Eu: 0.750 0.750 0.750
Y: 0.000 0.000 0.500
Y: 0.000 0.500 0.000
Y: 0.500 0.000 0.000
Y: 0.500 0.500 0.500

## Properties
* formation enthalpy at 0 K: 0.132 eV/atom
* final energy: -91.849 eV for the cell shown
* DOS at the Fermi energy: 21.62 states/eV per cell

---

(2)
Here is crystalline AcLuAgPt at its relaxed geometry from the Alexandria database. Energies are from PBE.

Unit cell a=7.382 b=7.382 c=7.382 alpha=90.00 beta=90.00 gamma=90.00
Element x y z (fractional)
Ac: 0.000 0.000 0.000
Ac: 0.000 0.500 0.500
Ac: 0.500 0.000 0.500
Ac: 0.500 0.500 0.000
Lu: 0.000 0.000 0.500
Lu: 0.000 0.500 0.000
Lu: 0.500 0.000 0.000
Lu: 0.500 0.500 0.500
Ag: 0.250 0.250 0.750
Ag: 0.250 0.750 0.250
Ag: 0.750 0.250 0.250
Ag: 0.750 0.750 0.750
Pt: 0.250 0.250 0.250
Pt: 0.250 0.750 0.750
Pt: 0.750 0.250 0.750
Pt: 0.750 0.750 0.250

## Properties
* formation enthalpy at 0 K: -0.644 eV/atom
* final energy: -80.387 eV for the cell shown
* DOS at the Fermi energy: 9.61 states/eV per cell

---

(3)
Here is crystalline SrPr3Pt at its relaxed geometry from the Alexandria database. Energies are from PBE.

Unit cell a=5.805 b=5.805 c=5.805 alpha=90.00 beta=90.00 gamma=90.00
Element x y z (fractional)
Sr: 0.000 0.000 0.000
Pr: 0.000 0.500 0.500
Pr: 0.500 0.000 0.500
Pr: 0.500 0.500 0.000
Pt: 0.500 0.500 0.500

## Properties
* formation enthalpy at 0 K: -0.310 eV/atom
* energy relative to the lowest polymorph listed for this composition: 0.011 eV/atom
* final energy: -23.613 eV for the cell shown
* DOS at the Fermi energy: 10.25 states/eV per cell

---

(4)
Here is crystalline YB2Pb at its relaxed geometry from the Alexandria database. Energies are from PBE.

Unit cell a=6.698 b=6.698 c=6.629 alpha=90.00 beta=90.00 gamma=90.00
Element x y z (fractional)
Y: 0.000 0.000 0.000
Y: 0.000 0.500 0.250
Y: 0.500 0.000 0.750
Y: 0.500 0.500 0.500
B: 0.227 0.750 0.625
B: 0.250 0.227 0.375
B: 0.250 0.273 0.875
B: 0.273 0.750 0.125
B: 0.727 0.250 0.125
B: 0.750 0.727 0.875
B: 0.750 0.773 0.375
B: 0.773 0.250 0.625
Pb: 0.000 0.000 0.500
Pb: 0.000 0.500 0.750
Pb: 0.500 0.000 0.250
Pb: 0.500 0.500 0.000

## Properties
* formation enthalpy at 0 K: 0.803 eV/atom
* final energy: -81.257 eV for the cell shown
* DOS at the Fermi energy: 11.89 states/eV per cell

---

(5)
Here is crystalline DyFeSi3Ni at its relaxed geometry from the Alexandria database. Energies are from PBE.

Unit cell a=6.699 b=6.699 c=5.527 alpha=90.00 beta=90.00 gamma=126.85
Element x y z (fractional)
Dy: 0.225 0.775 0.750
Dy: 0.775 0.225 0.250
Fe: 0.033 0.967 0.250
Fe: 0.967 0.033 0.750
Si: 0.210 0.790 0.250
Si: 0.293 0.293 0.000
Si: 0.293 0.293 0.500
Si: 0.707 0.707 0.000
Si: 0.707 0.707 0.500
Si: 0.790 0.210 0.750
Ni: 0.386 0.614 0.250
Ni: 0.614 0.386 0.750

## Properties
* final energy: -74.432 eV for the cell shown
* raw formation energy: -2.1 eV/f.u.
* DOS at the Fermi energy: 6.39 states/eV per cell

---

(6)
Here is crystalline Cd2HgPd at its relaxed geometry from the Alexandria database. Energies are from PBE.

Unit cell a=7.873 b=7.873 c=5.664 alpha=90.00 beta=90.00 gamma=90.00
Element x y z (fractional)
Cd: 0.225 0.250 0.125
Cd: 0.250 0.725 0.375
Cd: 0.250 0.775 0.875
Cd: 0.275 0.250 0.625
Cd: 0.725 0.750 0.625
Cd: 0.750 0.225 0.875
Cd: 0.750 0.275 0.375
Cd: 0.775 0.750 0.125
Hg: 0.000 0.000 0.500
Hg: 0.000 0.500 0.750
Hg: 0.500 0.000 0.250
Hg: 0.500 0.500 0.000
Pd: 0.000 0.000 0.000
Pd: 0.000 0.500 0.250
Pd: 0.500 0.000 0.750
Pd: 0.500 0.500 0.500

## Properties
* formation enthalpy at 0 K: -0.003 eV/atom
* final energy: -29.354 eV for the cell shown
* DOS at the Fermi energy: 4.74 states/eV per cell

---

(7)
Here is crystalline CuPbSO at its relaxed geometry from the Alexandria database. Energies are from PBE.

Unit cell a=3.907 b=3.907 c=9.553 alpha=90.00 beta=90.00 gamma=90.00
Element x y z (fractional)
Cu: 0.250 0.750 0.000
Cu: 0.750 0.250 0.000
Pb: 0.250 0.250 0.370
Pb: 0.750 0.750 0.630
S: 0.250 0.250 0.866
S: 0.750 0.750 0.134
O: 0.250 0.750 0.500
O: 0.750 0.250 0.500

## Properties
* final energy: -38.549 eV for the cell shown
* raw formation energy: -2.4 eV/f.u.
* DOS at the Fermi energy: 5.28 states/eV per cell

---

(8)
Here is crystalline KCdGa at its relaxed geometry from the Alexandria database. Energies are from PBE.

Unit cell a=5.720 b=4.939 c=6.763 alpha=90.00 beta=110.96 gamma=90.00
Element x y z (fractional)
K: 0.237 0.250 0.019
K: 0.763 0.750 0.981
Cd: 0.150 0.750 0.580
Cd: 0.850 0.250 0.420
Ga: 0.429 0.250 0.582
Ga: 0.571 0.750 0.418

## Properties
* formation enthalpy at 0 K: -0.036 eV/atom
* energy relative to the lowest polymorph listed for this composition: 0.032 eV/atom
* final energy: -10.297 eV for the cell shown
* DOS at the Fermi energy: 1.81 states/eV per cell